Below is a relaxed Rb3HoEr2O6 crystal, with properties calculated at the PBE level.

abc: 6.0272 10.4393 6.8519
angles: 90.00 107.05 90.00
Space group C2/m (No. 12)
Inequivalent atoms, fractional coordinates:
Rb: 0.0000 0.0000 0.0000 (multiplicity 2)
Rb: 0.0000 0.3333 0.0000 (multiplicity 4)
Ho: 0.0000 0.5000 0.5000 (multiplicity 2)
Er: 0.0000 0.1667 0.5000 (multiplicity 4)
O: 0.2235 0.0000 0.6740 (multiplicity 4)
O: 0.2253 0.3327 0.6741 (multiplicity 8)

Results
Raw formation energy, eV per atom: -2.720

Below is a relaxed KTiTe2 crystal, with properties calculated at the PBE level.

abc: 4.1105 4.1105 24.8939
angles: 90.00 90.00 120.00
Space group R3m (No. 160, hexagonal axes)
Inequivalent atoms, fractional coordinates:
K: 0.0000 0.0000 0.0000 (multiplicity 3)
Ti: 0.0000 0.0000 0.1677 (multiplicity 3)
Te: 0.0000 0.0000 0.5647 (multiplicity 3)
Te: 0.0000 0.0000 0.7703 (multiplicity 3)

Results
Raw formation energy, eV per atom: -0.831

Below is a relaxed ReSeF3 crystal, with properties calculated at the PBE level.

abc: 4.1691 4.1691 4.1691
angles: 90.00 90.00 90.00
Space group Pm-3m (No. 221)
Inequivalent atoms, fractional coordinates:
Re: 0.0000 0.0000 0.0000 (multiplicity 1)
Se: 0.5000 0.5000 0.5000 (multiplicity 1)
F: 0.0000 0.0000 0.5000 (multiplicity 3)

Results
E above lowest polymorph, eV per formula unit: 0.00
Raw formation energy, eV per atom: -0.445

Below is a relaxed Ba5HgIr crystal, with properties calculated at the PBE level.

abc: 14.0136 9.7463 11.8807
angles: 90.00 113.93 90.00
Space group C2/c (No. 15)
Inequivalent atoms, fractional coordinates:
Ba: 0.0000 0.0847 0.2500 (multiplicity 4)
Ba: 0.0581 0.2974 0.9738 (multiplicity 8)
Ba: 0.2304 0.0810 0.6361 (multiplicity 8)
Hg: 0.0000 0.4383 0.2500 (multiplicity 4)
Ir: 0.0000 0.0000 0.0000 (multiplicity 4)

Results
Energy of formation, meV/atom: -201.7